No. 1
Material: CsZrI3
Method: DFT, PBE
State: optimized geometry

Lattice parameters (Å, degrees): 7.0295 8.2654 9.5281 74.26 83.34 85.12
Atoms (fractional coordinates):
Cs (0.0000, 0.0000, 0.0000)
Cs (0.3807, 0.5273, 0.7475)
Zr (0.1883, 0.4153, 0.3181)
Zr (0.5519, 0.5538, 0.2120)
I (0.2478, 0.1683, 0.5947)
I (0.2530, 0.7410, 0.3551)
I (0.4801, 0.2351, 0.1641)
I (0.5234, 0.8317, 0.9462)
I (0.7763, 0.4737, 0.4641)
I (0.9665, 0.4872, 0.0559)

Computed properties:
Relative energy among the computed polymorphs = 0.083 eV/atom
Spin magnetization = 0.00 μB per formula unit
Calculated density = 3.80 g/cm3
Space-group type = P1 (1)
Uncorrected formation energy = -4.8 eV/f.u.

=====

No. 2
Material: InPOs
Method: DFT, PBE
State: optimized geometry

Lattice parameters (Å, degrees): 7.4542 7.1606 2.9796 83.83 72.76 23.42
Atoms (fractional coordinates):
In (0.0000, 0.0000, 0.0000)
P (0.3018, 0.3018, 0.6982)
Os (0.6797, 0.6797, 0.3203)

Computed properties:
Relative energy among the computed polymorphs = 0.388 eV/atom
Spin magnetization = 0.00 μB per formula unit
Energy of formation from the pure elements = 0.453 eV per atom
Calculated density = 10.26 g/cm3
Space-group type = Fmm2 (42)

=====

No. 3
Material: Pr2InTe
Method: DFT, PBE
State: optimized geometry

Lattice parameters (Å, degrees): 12.6032 12.6032 4.4685 90.00 90.00 158.63
Atoms (fractional coordinates):
Pr (0.0649, 0.9351, 0.7500)
Pr (0.3218, 0.6782, 0.7500)
Pr (0.6782, 0.3218, 0.2500)
Pr (0.9351, 0.0649, 0.2500)
In (0.4581, 0.5419, 0.7500)
In (0.5419, 0.4581, 0.2500)
Te (0.1922, 0.8078, 0.7500)
Te (0.8078, 0.1922, 0.2500)

Computed properties:
Relative energy among the computed polymorphs = 0.000 eV/atom
Spin magnetization = 0.00 μB per formula unit
Calculated density = 6.73 g/cm3
Space-group type = Cmcm (63)
Uncorrected formation energy = -4.0 eV/f.u.